A relaxed HoMgNiAg crystal. Source: the Alexandria database, functional PBE-GGA.

a = 6.7362 Å, b = 6.7362 Å, c = 6.7362 Å
α = 90.00°, β = 90.00°, γ = 90.00°
With the nearest neighbours (Å) after each atom.
Space group F-43m (No. 216)
One atom of each set of equivalent atoms:
Ho (0.0000, 0.0000, 0.0000) (multiplicity 4)  4 Ni 2.92, 4 Ag 2.92
Mg (0.0000, 0.0000, 0.5000) (multiplicity 4)  4 Ag 2.92, 4 Ni 2.92
Ni (0.2500, 0.2500, 0.7500) (multiplicity 4)  4 Ho 2.92, 4 Mg 2.92
Ag (0.2500, 0.2500, 0.2500) (multiplicity 4)  4 Ho 2.92, 4 Mg 2.92

Output
**Uncorrected energy**: -3.948 eV/atom
**DFT formation energy**: -247 meV/atom